# Ce2PaCd

An optimized crystal structure of Ce2PaCd (PBE, the Alexandria database).

a = 3.143 Å, b = 3.143 Å, c = 10.179 Å
α = 90.00°, β = 90.00°, γ = 90.00°
Space group P4/mmm (No. 123)
Symmetry-distinct sites (fractional):
Ce  0.000  0.000  0.246 x2
Pa  0.500  0.500  0.000 x1
Cd  0.500  0.500  0.500 x1

Output
excess energy over the best structure of this formula in the dataset: 0 kJ/mol of formula units
formation energy from the elements: -0.224 eV per formula unit
calculated volume: 101 Å³/f.u.
DFT total energy: -22.50 eV for the cell shown
spin magnetization: 0.002 μB/atom